4
Lattice="5.776 0.017 0.014 2.766 5.070 -0.014 -3.846 -3.258 2.821" Properties=species:S:1:pos:R:3 comment="Sc2RePb (PBE, optimized geometry)" density_g_cm3=9.74 dft_energy_ev_per_cell=-28.7 spacegroup="No. 44" formation_energy_ev_per_atom=0.026 pbc="T T T"
Pb 4.074 2.426 0.000
Re 1.553 2.153 1.404
Sc 0.236 0.140 0.000
Sc 3.105 -0.346 1.417